Material: UAlH6
Method: DFT, PBE-GGA
State: relaxed

Structure (POSCAR):
```
UAlH6
1.0
0.280 -3.545 -1.562
3.637 0.433 2.288
-2.459 -0.583 3.502
H U Al
6 1 1
Direct
0.793 0.937 0.306
0.373 0.288 0.288
0.207 0.694 0.063
0.793 0.306 0.937
0.207 0.063 0.694
0.627 0.712 0.712
0.000 0.500 0.500
0.000 0.000 0.000
```

Material: UAl2H8
Method: DFT, PBE-GGA
State: relaxed

Structure (POSCAR):
```
UAl2H8
1.0
4.413 0.000 0.000
0.000 4.413 0.000
0.000 0.000 4.830
H U Al
8 1 2
Direct
0.758 0.758 0.217
0.242 0.242 0.217
0.242 0.242 0.783
0.758 0.242 0.783
0.242 0.758 0.783
0.242 0.758 0.217
0.758 0.242 0.217
0.758 0.758 0.783
0.500 0.500 0.500
0.500 0.000 0.000
0.000 0.500 0.000
```

Material: Al2VH
Method: DFT, PBE-GGA
State: relaxed

Structure (POSCAR):
```
Al2VH
1.0
5.592 0.000 0.000
0.000 5.592 0.000
2.796 2.796 3.249
H V Al
2 2 4
Direct
0.500 0.500 0.000
0.250 0.750 0.500
0.000 0.000 0.000
0.750 0.250 0.500
0.875 0.762 0.750
0.512 0.125 0.250
0.238 0.625 0.250
0.375 0.488 0.750
```

Material: AlV3H
Method: DFT, PBE-GGA
State: relaxed

Structure (POSCAR):
```
AlV3H
1.0
-3.711 -0.571 -2.025
1.418 -3.713 -1.551
-4.705 -6.771 6.038
V Al H
6 2 2
Direct
0.137 0.872 0.257
0.607 0.872 0.257
0.128 0.393 0.743
0.128 0.863 0.743
0.675 0.675 0.650
0.325 0.325 0.350
0.250 0.750 0.500
0.000 0.000 0.000
0.859 0.359 0.282
0.641 0.141 0.718
```

Material: AlV3H
Method: DFT, PBE-GGA
State: relaxed

Structure (POSCAR):
```
AlV3H
1.0
10.255 0.000 -0.407
4.328 4.199 -2.975
-4.328 4.199 2.975
V H Al
12 4 4
Direct
0.027 0.309 0.592
0.128 0.934 0.814
0.527 0.908 0.191
0.973 0.691 0.408
0.130 0.238 0.130
0.370 0.630 0.738
0.372 0.314 0.434
0.872 0.066 0.186
0.630 0.370 0.262
0.870 0.762 0.870
0.473 0.092 0.809
0.628 0.686 0.566
0.652 0.045 0.194
0.152 0.306 0.455
0.348 0.955 0.806
0.848 0.694 0.545
0.250 0.458 0.958
0.750 0.231 0.731
0.250 0.769 0.269
0.750 0.542 0.042
```

Material: AlV3H
Method: DFT, PBE-GGA
State: relaxed

Structure (POSCAR):
```
AlV3H
1.0
-13.119 7.646 -4.716
-6.705 0.206 -1.662
5.638 -0.627 3.948
V Al H
6 2 2
Direct
0.170 0.794 0.206
0.928 0.415 0.585
0.830 0.206 0.794
0.551 0.359 0.641
0.449 0.641 0.359
0.072 0.585 0.415
0.316 0.981 0.019
0.684 0.019 0.981
0.762 0.065 0.935
0.238 0.935 0.065
```

Material: Al5V12H2
Method: DFT, PBE-GGA
State: relaxed

Structure (POSCAR):
```
Al5V12H2
1.0
-4.509 4.411 1.154
1.005 -1.764 -7.150
-3.388 -4.487 3.913
Al H V
5 2 12
Direct
0.765 0.531 0.046
0.235 0.469 0.515
0.235 0.469 0.954
0.000 0.000 0.500
0.765 0.531 0.485
0.645 0.000 0.000
0.355 0.000 0.000
0.180 0.743 0.372
0.617 0.720 0.860
0.500 0.000 0.237
0.000 0.000 0.165
0.383 0.280 0.140
0.437 0.257 0.628
0.897 0.280 0.140
0.820 0.257 0.628
0.103 0.720 0.860
0.000 0.000 0.835
0.563 0.743 0.372
0.500 0.000 0.763
```

Material: Al4V12H
Method: DFT, PBE-GGA
State: relaxed

Structure (POSCAR):
```
Al4V12H
1.0
-5.233 1.785 -3.669
3.386 -4.761 -3.146
-2.089 -2.282 5.870
V Al H
12 4 1
Direct
0.745 0.000 0.745
0.500 0.250 0.750
0.000 0.255 0.255
0.750 0.500 0.250
0.255 0.255 0.000
0.750 0.250 0.500
0.250 0.750 0.500
0.745 0.745 0.000
0.500 0.750 0.250
0.000 0.745 0.745
0.255 0.000 0.255
0.250 0.500 0.750
0.000 0.000 0.500
0.500 0.000 0.000
0.500 0.500 0.500
0.000 0.500 0.000
0.000 0.000 0.000
```

Material: Al2V7H2
Method: DFT, PBE-GGA
State: relaxed

Structure (POSCAR):
```
Al2V7H2
1.0
5.237 -0.122 -0.139
-0.500 5.099 -0.161
-0.500 -0.838 5.033
V Al H
7 2 2
Direct
0.657 0.830 0.474
0.155 0.655 0.655
0.343 0.526 0.170
0.343 0.170 0.526
0.500 0.000 0.000
0.845 0.345 0.345
0.657 0.474 0.830
0.000 0.165 0.835
0.000 0.835 0.165
0.502 0.734 0.734
0.498 0.266 0.266
```

Material: AlV3H
Method: DFT, PBE-GGA
State: relaxed

Structure (POSCAR):
```
AlV3H
1.0
14.630 0.000 -1.106
5.710 2.150 -2.374
-5.710 2.150 2.374
H Al V
2 2 6
Direct
0.335 0.120 0.880
0.665 0.880 0.120
0.140 0.037 0.963
0.860 0.963 0.037
0.441 0.269 0.731
0.038 0.364 0.636
0.559 0.731 0.269
0.707 0.353 0.647
0.962 0.636 0.364
0.293 0.647 0.353
```

Material: AlV3H
Method: DFT, PBE-GGA
State: relaxed

Structure (POSCAR):
```
AlV3H
1.0
2.944 0.000 5.903
-1.472 2.550 5.903
-1.472 -2.550 5.903
V H Al
6 2 2
Direct
0.781 0.444 0.127
0.873 0.219 0.556
0.219 0.556 0.873
0.444 0.127 0.781
0.127 0.781 0.444
0.556 0.873 0.219
0.834 0.834 0.834
0.166 0.166 0.166
0.668 0.668 0.668
0.332 0.332 0.332
```

Material: AlV3H
Method: DFT, PBE-GGA
State: relaxed

Structure (POSCAR):
```
AlV3H
1.0
-0.956 -5.034 0.201
4.877 -1.476 -0.162
2.659 -1.413 4.428
H V Al
2 6 2
Direct
0.418 0.801 0.970
0.029 0.801 0.534
0.734 0.938 0.939
0.713 0.938 0.427
0.224 0.921 0.691
0.492 0.410 0.071
0.956 0.410 0.822
0.224 0.963 0.171
0.467 0.430 0.572
0.980 0.430 0.302
```

Material: AlV3H
Method: DFT, PBE-GGA
State: relaxed

Structure (POSCAR):
```
AlV3H
1.0
3.725 -2.150 0.000
0.000 4.301 0.000
0.000 0.000 7.423
H Al V
2 2 6
Direct
0.000 0.000 0.000
0.000 0.000 0.500
0.667 0.333 0.250
0.333 0.667 0.750
0.667 0.333 0.912
0.667 0.333 0.588
0.333 0.667 0.088
0.000 0.000 0.750
0.000 0.000 0.250
0.333 0.667 0.412
```

Material: Al3V4H2
Method: DFT, PBE-GGA
State: relaxed

Structure (POSCAR):
```
Al3V4H2
1.0
-2.061 -0.348 -1.651
-1.100 -4.980 4.570
-2.030 6.682 1.126
H Al V
2 3 4
Direct
0.311 0.621 0.142
0.689 0.379 0.858
0.000 0.000 0.000
0.643 0.286 0.446
0.357 0.714 0.554
0.298 0.596 0.866
0.922 0.843 0.295
0.078 0.157 0.705
0.702 0.404 0.134
```

Material: AlV5H4
Method: DFT, PBE-GGA
State: relaxed

Structure (POSCAR):
```
AlV5H4
1.0
4.457 0.000 0.000
0.000 5.214 0.000
0.000 0.000 8.067
Al H V
2 8 10
Direct
0.196 0.500 0.500
0.804 0.000 0.000
0.057 0.000 0.701
0.057 0.000 0.299
0.492 0.250 0.000
0.943 0.500 0.201
0.508 0.250 0.500
0.492 0.750 0.000
0.943 0.500 0.799
0.508 0.750 0.500
0.240 0.000 0.500
0.257 0.266 0.174
0.760 0.500 0.000
0.257 0.734 0.174
0.743 0.234 0.674
0.743 0.766 0.674
0.743 0.234 0.326
0.257 0.734 0.826
0.743 0.766 0.326
0.257 0.266 0.826
```

Material: Al2V3H2
Method: DFT, PBE-GGA
State: relaxed

Structure (POSCAR):
```
Al2V3H2
1.0
3.381 0.000 0.000
0.000 5.637 -0.307
-1.691 -1.808 4.298
Al V H
2 3 2
Direct
0.648 0.804 0.297
0.352 0.196 0.703
0.330 0.670 0.660
0.000 0.000 0.000
0.670 0.330 0.340
0.105 0.391 0.211
0.895 0.609 0.789
```

Material: Al3VH
Method: DFT, PBE-GGA
State: relaxed

Structure (POSCAR):
```
Al3VH
1.0
-2.385 3.153 -0.103
-2.148 -1.529 2.948
2.311 1.834 2.635
H Al V
1 3 1
Direct
0.000 0.000 0.000
0.000 0.000 0.500
0.500 0.000 0.000
0.000 0.500 0.000
0.500 0.500 0.500
```

Material: AlV4H2
Method: DFT, PBE-GGA
State: relaxed

Structure (POSCAR):
```
AlV4H2
1.0
5.337 0.257 0.631
-0.154 4.413 0.009
-1.557 -2.406 6.069
V H Al
8 4 2
Direct
0.691 0.686 0.570
0.586 0.870 0.956
0.384 0.259 0.775
0.460 0.055 0.370
0.301 0.457 0.152
0.814 0.448 0.157
0.979 0.065 0.370
0.890 0.237 0.765
0.636 0.499 0.754
0.583 0.377 0.305
0.940 0.422 0.582
0.695 0.841 0.218
0.093 0.861 0.976
0.199 0.672 0.550
```

Material: AlV3H
Method: DFT, PBE-GGA
State: relaxed

Structure (POSCAR):
```
AlV3H
1.0
-1.777 1.231 2.307
-3.594 -6.494 2.867
4.607 -0.792 1.796
V Al H
6 2 2
Direct
0.066 0.085 0.229
0.575 0.815 0.959
0.796 0.954 0.556
0.048 0.558 0.667
0.308 0.698 0.306
0.554 0.325 0.447
0.801 0.456 0.066
0.309 0.195 0.823
0.004 0.926 0.931
0.191 0.757 0.628
```

Material: AlV3H
Method: DFT, PBE-GGA
State: relaxed

Structure (POSCAR):
```
AlV3H
1.0
-0.944 2.575 -1.907
-1.613 -2.099 -2.037
-5.666 0.707 3.758
V H Al
3 1 1
Direct
0.000 0.000 0.706
0.500 0.000 0.431
0.000 0.500 0.431
0.500 0.500 0.600
0.000 0.000 0.095
```

Material: Al4V5H
Method: DFT, PBE-GGA
State: relaxed

Structure (POSCAR):
```
Al4V5H
1.0
3.525 0.000 0.000
1.763 6.091 0.000
1.763 0.000 6.091
V Al H
5 4 1
Direct
0.173 0.657 0.000
0.829 0.343 0.000
0.501 0.000 0.000
0.173 0.000 0.657
0.829 0.000 0.343
0.822 0.679 0.679
0.501 0.321 0.679
0.180 0.321 0.321
0.501 0.679 0.321
0.001 0.000 0.000
```

Calculated total energy values, unit eV per atom, following the record order: -4.459 -4.066 -4.671 -5.937 -6.834 -6.848 -7.022 -7.622 -7.110 -6.889 -6.712 -7.069 -6.803 -6.130 -6.298 -6.030 -4.738 -6.870 -7.061 -6.327 -6.586.